Entry 1:
Computed, not measured: crystalline Ca3Cr at its relaxed geometry at the PBE level of DFT.

Lattice parameters (Å, degrees): 6.7173 6.7173 6.7173 116.86 116.86 116.86
Fractional positions:
Ca1 0.0000 0.5000 0.5000
Ca2 0.5000 0.0000 0.5000
Ca3 0.5000 0.5000 0.0000
Cr1 0.0000 0.0000 0.0000

DFT formation energy, eV/atom: 0.4775
Calculated volume, Å³ per atom: 34.17
Uncorrected energy, eV/atom: -3.4296

Entry 2:
Computed, not measured: crystalline Cu4Ag2Pd5 at its relaxed geometry at the PBE level of DFT.

Lattice parameters (Å, degrees): 5.6300 5.6300 7.8480 120.29 120.29 57.10
Fractional positions:
Cu1 0.2256 0.2256 0.1447
Cu2 0.2383 0.2383 0.4830
Cu3 0.7617 0.7617 0.5170
Cu4 0.7744 0.7744 0.8553
Ag1 0.2323 0.2323 0.8044
Ag2 0.7677 0.7677 0.1956
Pd1 0.2502 0.7399 0.8165
Pd2 0.2601 0.7498 0.1835
Pd3 0.5000 0.5000 0.5000
Pd4 0.7399 0.2502 0.8165
Pd5 0.7498 0.2601 0.1835

DFT formation energy, eV/atom: 0.0676
Calculated volume, Å³ per atom: 15.55
Distance to the lowest polymorph of the same formula, meV per atom: 17
Uncorrected energy, eV/atom: -4.3007

Entry 3:
Computed, not measured: crystalline Ta2IrW at its relaxed geometry at the PBE level of DFT.

Lattice parameters (Å, degrees): 2.8163 2.8163 8.4892 90.00 90.00 90.00
Fractional positions:
Ta1 0.0000 0.0000 0.2294
Ta2 0.0000 0.0000 0.7706
Ir1 0.5000 0.5000 0.0000
W1 0.5000 0.5000 0.5000

DFT formation energy, eV/atom: -0.1741
Calculated volume, Å³ per atom: 16.83
Distance to the lowest polymorph of the same formula, meV per atom: 154
Uncorrected energy, eV/atom: -11.5540

Entry 4:
Computed, not measured: crystalline Cu2HgCl2 at its relaxed geometry at the PBE level of DFT.

Lattice parameters (Å, degrees): 9.8944 9.8944 9.8944 158.13 158.13 31.12
Fractional positions:
Cu1 0.2500 0.7500 0.5000
Cu2 0.7500 0.2500 0.5000
Hg1 0.0000 0.0000 0.0000
Cl1 0.3288 0.3288 0.0000
Cl2 0.6712 0.6712 0.0000

Calculated volume, Å³ per atom: 26.86
Distance to the lowest polymorph of the same formula, meV per atom: 0
Uncorrected energy, eV/atom: -2.6948

no.,magnetic moment (μB per formula unit)
1,5.008
2,0.000
3,0.000
4,0.000